No. 1
DFT (PBE) results for crystalline Ce2Hg2Pb at its relaxed geometry.

Output
As for the calculated formation energy: -1.52 eV per formula unit. Its crystal system is monoclinic.

abc: 9.616 5.022 6.755
angles: 90.00 124.32 90.00
Space group C2/m (No. 12)
Symmetry-distinct sites (fractional):
Ce (0.086, 0.000, 0.262) (multiplicity 4)
Hg (0.197, 0.500, 0.090) (multiplicity 4)
Pb (0.000, 0.500, 0.500) (multiplicity 2)

=====

No. 2
DFT (PBE) results for crystalline Pm4AsCSe2 at its relaxed geometry.

Output
Its crystal system is monoclinic.

abc: 7.114 4.054 7.212
angles: 90.00 108.81 90.00
Space group P2/m (No. 10)
Symmetry-distinct sites (fractional):
Pm (0.221, 0.000, 0.216) (multiplicity 2)
Pm (0.234, 0.500, 0.775) (multiplicity 2)
As (0.500, 0.000, 0.000) (multiplicity 1)
C (0.000, 0.500, 0.000) (multiplicity 1)
Se (0.000, 0.000, 0.500) (multiplicity 1)
Se (0.500, 0.500, 0.500) (multiplicity 1)

=====

No. 3
DFT (PBE) results for crystalline Ho3Mg5Ag2 at its relaxed geometry.

Output
As for the calculated formation energy: -0.23 eV per formula unit. Its crystal system is orthorhombic.

abc: 12.609 12.722 6.264
angles: 90.00 90.00 90.00
Space group Ibam (No. 72)
Symmetry-distinct sites (fractional):
Ho (0.000, 0.000, 0.250) (multiplicity 4)
Ho (0.240, 0.146, 0.000) (multiplicity 8)
Mg (0.000, 0.264, 0.250) (multiplicity 8)
Mg (0.000, 0.500, 0.250) (multiplicity 4)
Mg (0.164, 0.401, 0.000) (multiplicity 8)
Ag (0.136, 0.145, 0.500) (multiplicity 8)

=====

| no. | E_tot (eV/atom) |
| --- | --- |
| 1 | -3.539 |
| 2 | -6.350 |
| 3 | -2.764 |